# PBE PmSm2GaC, optimized geometry
# E_form: -0.31 eV per atom
# Magnetic moment: 0.00 Bohr magnetons per cell
data_PmSm2GaC
_space_group_name_H-M_alt 'P 4/m m m'
_space_group_IT_number 123
_space_group_name_Hall '-P 4 2'
_cell_length_a 4.995
_cell_length_b 4.995
_cell_length_c 5.024
_cell_angle_alpha 90.00
_cell_angle_beta 90.00
_cell_angle_gamma 90.00
loop_
_atom_site_label
_atom_site_fract_x
_atom_site_fract_y
_atom_site_fract_z
Pm1 0.000 0.000 0.000
Sm1 0.000 0.500 0.500
Ga1 0.500 0.500 0.000
C1 0.000 0.000 0.500

=====

# PBE Tb2PmGaC, optimized geometry
# E_form: -0.37 eV per atom
# Magnetic moment: 0.00 Bohr magnetons per cell
data_Tb2PmGaC
_space_group_name_H-M_alt 'P 4/m m m'
_space_group_IT_number 123
_space_group_name_Hall '-P 4 2'
_cell_length_a 4.896
_cell_length_b 4.896
_cell_length_c 5.022
_cell_angle_alpha 90.00
_cell_angle_beta 90.00
_cell_angle_gamma 90.00
loop_
_atom_site_label
_atom_site_fract_x
_atom_site_fract_y
_atom_site_fract_z
Tb1 0.000 0.500 0.000
Pm1 0.000 0.000 0.500
Ga1 0.500 0.500 0.500
C1 0.000 0.000 0.000